# 1
{"formula": "PrPuBiSb", "functional": "GGA-PBE", "state": "relaxed", "lattice_angstrom": [[-3.422, -3.830, 2.030], [1.841, -5.117, 0.962], [0.617, -1.782, 5.190]], "species": ["Sb", "Bi", "Pr", "Pu"], "fractional_positions": [[0.000, 0.000, 0.000], [0.500, 0.500, 0.500], [0.250, 0.250, 0.250], [0.750, 0.750, 0.750]], "raw_formation_energy_ev_per_atom": -0.60, "total_energy_ev_per_atom": -7.3738, "magnetic_moment_mub_per_cell": 5.8, "de_polymorph_kj_per_mol_fu": 64}

***

# 2
{"formula": "BaYGaSb2", "functional": "GGA-PBE", "state": "relaxed", "lattice_angstrom": [[-1.876, -0.833, 5.873], [-2.792, -5.073, -1.612], [5.180, -3.231, 1.197]], "species": ["Ga", "Y", "Sb", "Sb", "Ba"], "fractional_positions": [[0.500, 0.500, 0.500], [0.000, 0.500, 0.000], [0.500, 0.000, 0.000], [0.000, 0.000, 0.500], [0.000, 0.000, 0.000]], "raw_formation_energy_ev_per_atom": 1.00, "total_energy_ev_per_atom": -2.9343, "magnetic_moment_mub_per_cell": 0.0}

***

# 3
{"formula": "NaC3S", "functional": "GGA-PBE", "state": "relaxed", "lattice_angstrom": [[3.756, 0.000, 0.000], [0.000, 3.756, 0.000], [0.000, 0.000, 3.756]], "species": ["C", "C", "C", "S", "Na"], "fractional_positions": [[0.000, 0.500, 0.000], [0.500, 0.000, 0.000], [0.000, 0.000, 0.500], [0.000, 0.000, 0.000], [0.500, 0.500, 0.500]], "raw_formation_energy_ev_per_atom": 2.46, "total_energy_ev_per_atom": -4.1650, "magnetic_moment_mub_per_cell": 0.0, "de_polymorph_kj_per_mol_fu": 0}

***

# 4
{"formula": "Nd3Y2Tm", "functional": "GGA-PBE", "state": "relaxed", "lattice_angstrom": [[7.269, 0.000, 0.000], [0.000, 6.312, -0.189], [-3.634, -1.842, 8.802]], "species": ["Nd", "Nd", "Nd", "Nd", "Nd", "Nd", "Tm", "Tm", "Y", "Y", "Y", "Y"], "fractional_positions": [[0.127, 0.750, 0.000], [0.708, 0.476, 0.667], [0.959, 0.976, 0.667], [0.292, 0.524, 0.333], [0.041, 0.024, 0.333], [0.873, 0.250, 0.000], [0.622, 0.750, 0.000], [0.378, 0.250, 0.000], [0.542, 0.030, 0.331], [0.458, 0.970, 0.669], [0.211, 0.470, 0.669], [0.789, 0.530, 0.331]], "e_form_mev_per_atom": 7.7, "total_energy_ev_per_atom": -5.2762, "magnetic_moment_mub_per_cell": 0.0, "de_polymorph_kj_per_mol_fu": 0}